The following is a GGA-PBE calculation of an optimized crystal structure of NiMo3Os, from Alexandria via LeMat-Bulk.

Cell and atoms, written as POSCAR:
```
NiMo3Os
1.0
4.397 0.000 0.000
0.000 4.397 0.000
0.000 0.000 4.397
Ni Mo Os
1 3 1
direct
0.000 0.000 0.000
0.000 0.000 0.500
0.000 0.500 0.000
0.500 0.000 0.000
0.500 0.500 0.500
```

Calculated values
Its crystal system is cubic. The calculation puts the density of states at the Fermi level at 9.47 states/eV/f.u. As for the total DFT energy (no corrections): -8.394 eV/atom.